# Dy5Co2Os

A geometry-optimized Dy5Co2Os structure (PBE-GGA, Alexandria).

Unit cell a=7.0994 b=7.0994 c=8.6759 alpha=114.15 beta=114.15 gamma=90.00
Closest atoms and distances in Å follow each position.
Fractional positions:
Dy 0.1780 0.0362 0.7142  3 Co 2.92-2.93, 2 Os 3.02
Dy 0.0000 0.0000 0.0000  4 Co 2.87
Os 0.2500 0.2500 0.5000  8 Dy 3.02
Co 0.6117 0.1117 0.0000  1 Co 2.24
Co 0.8883 0.6117 0.0000  1 Co 2.24
Os 0.7500 0.7500 0.5000  8 Dy 3.02
Dy 0.4638 0.3220 0.2858  3 Co 2.92-2.93, 2 Os 3.02
Dy 0.0362 0.5362 0.7142  3 Co 2.92-2.93, 2 Os 3.02
Dy 0.9638 0.4638 0.2858  3 Co 2.92-2.93, 2 Os 3.02
Dy 0.8220 0.9638 0.2858  3 Co 2.92-2.93, 2 Os 3.02
Co 0.1117 0.3883 0.0000  1 Co 2.24
Dy 0.6780 0.1780 0.7142  3 Co 2.92-2.93, 2 Os 3.02
Dy 0.3220 0.8220 0.2858  3 Co 2.92-2.93, 2 Os 3.02
Dy 0.5362 0.6780 0.7142  3 Co 2.92-2.93, 2 Os 3.02
Dy 0.5000 0.5000 0.0000  4 Co 2.87
Co 0.3883 0.8883 0.0000  1 Co 2.24

Results
**Space group**: I4/mcm (140)
**ρ**: 10.44 g/cm³
**ΔE_f**: -0.237 eV/atom
**V**: 356.6 Å³/cell